Material: Mg2BiPd6
Method: DFT, PBE
State: relaxed

```
Mg2BiPd6
1.0
4.106 0.000 -0.168
0.000 6.595 0.000
-1.824 -3.298 6.423
Pd Mg Bi
6 2 1
direct
0.500 0.722 0.000 Pd
0.833 0.574 0.664 Pd
0.167 0.426 0.336 Pd
0.500 0.278 0.000 Pd
0.833 0.090 0.664 Pd
0.167 0.910 0.336 Pd
0.326 0.325 0.650 Mg
0.674 0.675 0.350 Mg
0.000 0.000 0.000 Bi
```

Output
SG = C2/m
ΔE_f = -0.226 eV per atom